Record 1
The following is a GGA-PBE calculation of a relaxed structure of SmEuHo, from the Alexandria database.

Computed properties:
Raw total energy   -6.4731 eV per atom
Size of the total moment   7.19 μB per formula unit
ΔE_f   51 meV per atom

a = 3.6694 Å, b = 3.6694 Å, c = 15.5223 Å
α = 90.00°, β = 90.00°, γ = 90.00°
Space group I4mm (No. 107)
Symmetry-distinct sites (fractional):
1 Sm 0.0000 0.0000 0.0000 x2
2 Eu 0.0000 0.0000 0.3237 x2
3 Ho 0.0000 0.0000 0.6508 x2

=====

Record 2
The following is a GGA-PBE calculation of a relaxed structure of MnCrRu2, from the Alexandria database.

Computed properties:
Raw total energy   -9.1333 eV per atom
Size of the total moment   0.77 μB per formula unit
ΔE_f   203 meV per atom

a = 8.4867 Å, b = 2.6610 Å, c = 4.6865 Å
α = 90.00°, β = 90.04°, γ = 90.00°
Space group C2/m (No. 12)
Symmetry-distinct sites (fractional):
1 Mn 0.0000 0.0000 0.0000 x2
2 Cr 0.0000 0.0000 0.5000 x2
3 Ru 0.2272 0.5000 0.2492 x4

=====

Record 3
The following is a GGA-PBE calculation of a relaxed structure of PmHo4Tm6, from the Alexandria database.

Computed properties:
Raw total energy   -4.4138 eV per atom
Distance to the lowest polymorph of the same formula   0 meV/atom
Size of the total moment   0.00 μB per formula unit
ΔE_f   122 meV per atom

a = 5.5748 Å, b = 9.6317 Å, c = 25.4355 Å
α = 90.00°, β = 90.00°, γ = 90.00°
Space group Cmcm (No. 63)
Symmetry-distinct sites (fractional):
1 Pm 0.0000 0.1684 0.2500 x4
2 Ho 0.0000 0.1661 0.5415 x8
3 Ho 0.0000 0.4982 0.6214 x8
4 Tm 0.0000 0.1649 0.6808 x8
5 Tm 0.0000 0.1681 0.1021 x8
6 Tm 0.0000 0.4981 0.7500 x4
7 Tm 0.0000 0.5000 0.0000 x4

=====

Record 4
The following is a GGA-PBE calculation of a relaxed structure of Y4O, from the Alexandria database.

Computed properties:
Raw formation energy   -1080 meV per atom
Raw total energy   -7.2425 eV per atom
Distance to the lowest polymorph of the same formula   27 meV/atom
Size of the total moment   0.00 μB per formula unit

a = 4.9701 Å, b = 4.9701 Å, c = 4.9701 Å
α = 90.00°, β = 90.00°, γ = 90.00°
Space group Pm-3m (No. 221)
Symmetry-distinct sites (fractional):
1 Y 0.0000 0.0000 0.0000 x1
2 Y 0.0000 0.5000 0.5000 x3
3 O 0.5000 0.5000 0.5000 x1

=====

Record 5
The following is a GGA-PBE calculation of a relaxed structure of SrNpO3, from the Alexandria database.

Computed properties:
Raw formation energy   -2866 meV per atom
Raw total energy   -8.7652 eV per atom
Size of the total moment   3.00 μB per formula unit

a = 4.3805 Å, b = 4.3805 Å, c = 4.3805 Å
α = 90.00°, β = 90.00°, γ = 90.00°
Space group Pm-3m (No. 221)
Symmetry-distinct sites (fractional):
1 Sr 0.0000 0.0000 0.0000 x1
2 Np 0.5000 0.5000 0.5000 x1
3 O 0.0000 0.5000 0.5000 x3

=====

Record 6
The following is a GGA-PBE calculation of a relaxed structure of CeCuCl4, from the Alexandria database.

Computed properties:
Raw formation energy   -1511 meV per atom
Raw total energy   -4.4138 eV per atom
Distance to the lowest polymorph of the same formula   74 meV/atom
Size of the total moment   1.00 μB per formula unit

a = 8.6388 Å, b = 11.0096 Å, c = 7.2674 Å
α = 90.00°, β = 111.55°, γ = 90.00°
Space group C2/c (No. 15)
Symmetry-distinct sites (fractional):
1 Ce 0.0000 0.0028 0.2500 x4
2 Cu 0.0000 0.3257 0.2500 x4
3 Cl 0.0595 0.2016 0.0297 x8
4 Cl 0.2206 0.4609 0.3809 x8

=====

Record 7
The following is a GGA-PBE calculation of a relaxed structure of ZrTlSi2, from the Alexandria database.

Computed properties:
Raw formation energy   -97 meV per atom
Raw total energy   -5.5374 eV per atom
Distance to the lowest polymorph of the same formula   0 meV/atom
Size of the total moment   0.00 μB per formula unit

a = 3.6285 Å, b = 3.6844 Å, c = 6.1776 Å
α = 90.00°, β = 90.00°, γ = 90.00°
Space group Pmmm (No. 47)
Symmetry-distinct sites (fractional):
1 Zr 0.0000 0.0000 0.0000 x1
2 Tl 0.0000 0.0000 0.5000 x1
3 Si 0.5000 0.5000 0.1931 x2

=====

Record 8
The following is a GGA-PBE calculation of a relaxed structure of PmPd5Au4, from the Alexandria database.

Computed properties:
Raw total energy   -4.6809 eV per atom
Size of the total moment   0.00 μB per formula unit
ΔE_f   -298 meV per atom

a = 8.1881 Å, b = 9.7207 Å, c = 4.7567 Å
α = 90.00°, β = 90.00°, γ = 90.00°
Space group Pmmn (No. 59, origin choice 2)
Symmetry-distinct sites (fractional):
1 Pm 0.2500 0.2500 0.0732 x2
2 Pd 0.0816 0.5081 0.7541 x8
3 Pd 0.2500 0.7500 0.8215 x2
4 Au 0.0036 0.2500 0.5750 x4
5 Au 0.2500 0.5569 0.2565 x4